Entry 1:
TbYTl2S4 | PBE | relaxed

a = 7.0035 Å, b = 4.0438 Å, c = 7.8738 Å
α = 90.00°, β = 107.24°, γ = 90.00°
Last column: nearest neighbours and their distance in Å.
Fractional positions:
Tb 0.0000 0.0000 0.0000  6 S 2.77
Y 0.5000 0.5000 0.0000  6 S 2.77
Tl 0.0000 0.5000 0.5000  6 S 3.26
Tl 0.5000 0.0000 0.5000  6 S 3.25
S 0.2335 0.5000 0.1986  1 Y 2.77, 2 Tb 2.77
S 0.2678 0.0000 0.8017  2 Y 2.77, 1 Tb 2.77
S 0.7322 0.0000 0.1983  2 Y 2.77, 1 Tb 2.77
S 0.7665 0.5000 0.8014  1 Y 2.77, 2 Tb 2.77

Summary:
- E_form (uncorrected) (meV/atom) = -1491.1
- symmetry = P2/m

Entry 2:
Tb4YTlS8 | PBE | relaxed

a = 8.2382 Å, b = 8.2382 Å, c = 8.2382 Å
α = 60.07°, β = 60.07°, γ = 60.07°
Last column: nearest neighbours and their distance in Å.
Fractional positions:
Tb 0.0000 0.0000 0.0000  4 S 2.67-2.68
Tb 0.1371 0.6210 0.6210  6 S 2.68-2.88
Tb 0.6210 0.1371 0.6210  6 S 2.68-2.88
Tb 0.6210 0.6210 0.1371  6 S 2.68-2.88
Y 0.6209 0.6209 0.6209  6 S 2.68-2.87
Tl 0.2500 0.2500 0.2500  4 S 2.85-2.86
S 0.3914 0.3914 0.3914  3 Tb 2.68, 1 Tl 2.85
S 0.3917 0.3917 0.8257  1 Y 2.68, 2 Tb 2.68, 1 Tl 2.86
S 0.3917 0.8257 0.3917  1 Y 2.68, 2 Tb 2.68, 1 Tl 2.86
S 0.3977 0.8670 0.8670  3 Tb 2.68-2.88, 1 Y 2.87
S 0.8257 0.3917 0.3917  1 Y 2.68, 2 Tb 2.68, 1 Tl 2.86
S 0.8670 0.3977 0.8670  3 Tb 2.68-2.88, 1 Y 2.87
S 0.8670 0.8670 0.3977  3 Tb 2.68-2.88, 1 Y 2.87
S 0.8675 0.8675 0.8675  4 Tb 2.67-2.88

Summary:
- E_form (uncorrected) (meV/atom) = -1820.3
- symmetry = R3m

Entry 3:
TbYTlS | PBE | relaxed

a = 3.8167 Å, b = 3.8167 Å, c = 8.4235 Å
α = 103.02°, β = 103.02°, γ = 60.01°
Last column: nearest neighbours and their distance in Å.
Fractional positions:
Tb 0.0000 0.0000 0.0000  3 S 2.75
Y 0.7983 0.7983 0.3951  3 S 2.71
Tl 0.2321 0.2321 0.6971  3 Y 3.30, 3 Tb 3.30-3.31
S 0.4004 0.4004 0.2014  3 Y 2.71, 3 Tb 2.75

Summary:
- E_form (uncorrected) (meV/atom) = -1162.6
- symmetry = Cm

Entry 4:
TbY4TlS8 | PBE | relaxed

a = 8.2349 Å, b = 8.2349 Å, c = 8.2349 Å
α = 59.89°, β = 59.89°, γ = 59.89°
Last column: nearest neighbours and their distance in Å.
Fractional positions:
Tb 0.0000 0.0000 0.0000  6 S 2.68-2.88
Y 0.0001 0.0001 0.5163  6 S 2.68-2.87
Y 0.0001 0.5163 0.0001  6 S 2.68-2.87
Y 0.3791 0.3791 0.3791  4 S 2.67
Y 0.5163 0.0001 0.0001  6 S 2.68-2.87
Tl 0.6295 0.6295 0.6295  4 S 2.85
S 0.2051 0.7701 0.7701  2 Y 2.68, 1 Tb 2.68, 1 Tl 2.85
S 0.2466 0.2466 0.2466  4 Y 2.67-2.87
S 0.2470 0.2470 0.7766  3 Y 2.67-2.87, 1 Tb 2.88
S 0.2470 0.7766 0.2470  3 Y 2.67-2.87, 1 Tb 2.88
S 0.7701 0.2051 0.7701  2 Y 2.68, 1 Tb 2.68, 1 Tl 2.85
S 0.7701 0.7701 0.2051  2 Y 2.68, 1 Tb 2.68, 1 Tl 2.85
S 0.7707 0.7707 0.7707  3 Y 2.68, 1 Tl 2.85
S 0.7766 0.2470 0.2470  3 Y 2.67-2.87, 1 Tb 2.88

Summary:
- E_form (uncorrected) (meV/atom) = -1822.3
- symmetry = R3m

Entry 5:
Tb2YTl3S6 | PBE | relaxed

a = 7.0082 Å, b = 7.0082 Å, c = 7.8726 Å
α = 98.53°, β = 98.53°, γ = 120.00°
Last column: nearest neighbours and their distance in Å.
Fractional positions:
Tb 0.1666 0.8334 0.0000  6 S 2.77
Tb 0.8334 0.1666 0.0000  6 S 2.77
Y 0.5000 0.5000 0.0000  6 S 2.77
Tl 0.0000 0.0000 0.5000  6 S 3.25-3.26
Tl 0.3330 0.6670 0.5000  6 S 3.25-3.26
Tl 0.6670 0.3330 0.5000  6 S 3.25-3.26
S 0.1012 0.4339 0.8016  1 Y 2.77, 2 Tb 2.77
S 0.2336 0.2336 0.1987  1 Y 2.77, 2 Tb 2.77
S 0.4339 0.1012 0.8016  1 Y 2.77, 2 Tb 2.77
S 0.5661 0.8988 0.1984  1 Y 2.77, 2 Tb 2.77
S 0.7664 0.7664 0.8013  1 Y 2.77, 2 Tb 2.77
S 0.8988 0.5661 0.1984  1 Y 2.77, 2 Tb 2.77

Summary:
- E_form (uncorrected) (meV/atom) = -1490.4
- symmetry = C2/m

Entry 6:
Tb3ZrTl4S8 | PBE | relaxed

a = 8.9209 Å, b = 8.9209 Å, c = 8.9209 Å
α = 52.63°, β = 52.63°, γ = 52.63°
Last column: nearest neighbours and their distance in Å.
Fractional positions:
Tb 0.0000 0.5000 0.5000  6 S 2.75-2.77
Tb 0.5000 0.0000 0.5000  6 S 2.75-2.77
Tb 0.5000 0.5000 0.0000  6 S 2.75-2.77
Zr 0.0000 0.0000 0.0000  6 S 2.64
Tl 0.0000 0.0000 0.5000  6 S 3.24
Tl 0.0000 0.5000 0.0000  6 S 3.24
Tl 0.5000 0.0000 0.0000  6 S 3.24
Tl 0.5000 0.5000 0.5000  6 S 3.35
S 0.2236 0.2236 0.7471  1 Zr 2.64, 2 Tb 2.77
S 0.2236 0.7471 0.2236  1 Zr 2.64, 2 Tb 2.77
S 0.2529 0.7764 0.7764  1 Zr 2.64, 2 Tb 2.77
S 0.2667 0.2667 0.2667  3 Tb 2.75
S 0.7333 0.7333 0.7333  3 Tb 2.75
S 0.7471 0.2236 0.2236  1 Zr 2.64, 2 Tb 2.77
S 0.7764 0.2529 0.7764  1 Zr 2.64, 2 Tb 2.77
S 0.7764 0.7764 0.2529  1 Zr 2.64, 2 Tb 2.77

Summary:
- E_form (uncorrected) (meV/atom) = -1366.7
- symmetry = R-3m